DFT (PBE) results for crystalline Ga2TcMo at its relaxed geometry.

Lattice parameters (Å, degrees): 6.196 6.196 6.196 90.00 90.00 90.00
Atoms (fractional coordinates):
Ga1 0.250 0.250 0.250
Ga2 0.250 0.250 0.750
Ga3 0.250 0.750 0.250
Ga4 0.250 0.750 0.750
Ga5 0.750 0.250 0.250
Ga6 0.750 0.250 0.750
Ga7 0.750 0.750 0.250
Ga8 0.750 0.750 0.750
Tc1 0.000 0.000 0.000
Tc2 0.000 0.500 0.500
Tc3 0.500 0.000 0.500
Tc4 0.500 0.500 0.000
Mo1 0.000 0.000 0.500
Mo2 0.000 0.500 0.000
Mo3 0.500 0.000 0.000
Mo4 0.500 0.500 0.500

Symmetry: No. 225
Energy of formation, eV/atom: 0.087
Theoretical density, Mg/m³: 9.3



DFT (PBE) results for crystalline GaTc3Mo at its relaxed geometry.

Lattice parameters (Å, degrees): 4.686 4.686 4.686 90.00 90.00 90.00
Atoms (fractional coordinates):
Ga1 0.000 0.000 0.000
Tc1 0.000 0.500 0.500
Tc2 0.500 0.000 0.500
Tc3 0.500 0.500 0.000
Mo1 0.500 0.500 0.500

Symmetry: No. 221
Energy of formation, eV/atom: 1.649
Theoretical density, Mg/m³: 7.4



DFT (PBE) results for crystalline Ga2TcMo at its relaxed geometry.

Lattice parameters (Å, degrees): 6.924 6.924 5.418 90.00 90.00 90.00
Atoms (fractional coordinates):
Ga1 0.243 0.750 0.125
Ga2 0.250 0.243 0.875
Ga3 0.250 0.257 0.375
Ga4 0.257 0.750 0.625
Ga5 0.743 0.250 0.625
Ga6 0.750 0.743 0.375
Ga7 0.750 0.757 0.875
Ga8 0.757 0.250 0.125
Tc1 0.000 0.000 0.000
Tc2 0.000 0.500 0.250
Tc3 0.500 0.000 0.750
Tc4 0.500 0.500 0.500
Mo1 0.000 0.000 0.500
Mo2 0.000 0.500 0.750
Mo3 0.500 0.000 0.250
Mo4 0.500 0.500 0.000

Symmetry: No. 122
Energy of formation, eV/atom: 0.424
Theoretical density, Mg/m³: 8.5



DFT (PBE) results for crystalline GaTc2Mo at its relaxed geometry.

Lattice parameters (Å, degrees): 6.963 6.963 5.425 90.00 90.00 90.00
Atoms (fractional coordinates):
Ga1 0.000 0.000 0.000
Ga2 0.000 0.500 0.250
Ga3 0.500 0.000 0.750
Ga4 0.500 0.500 0.500
Tc1 0.235 0.250 0.625
Tc2 0.250 0.735 0.875
Tc3 0.250 0.765 0.375
Tc4 0.265 0.250 0.125
Tc5 0.735 0.750 0.125
Tc6 0.750 0.235 0.375
Tc7 0.750 0.265 0.875
Tc8 0.765 0.750 0.625
Mo1 0.000 0.000 0.500
Mo2 0.000 0.500 0.750
Mo3 0.500 0.000 0.250
Mo4 0.500 0.500 0.000

Symmetry: No. 122
Energy of formation, eV/atom: 0.645
Theoretical density, Mg/m³: 9.1



DFT (PBE) results for crystalline TiGaTcMo at its relaxed geometry.

Lattice parameters (Å, degrees): 6.244 6.244 6.244 90.00 90.00 90.00
Atoms (fractional coordinates):
Ti1 0.000 0.000 0.000
Ti2 0.000 0.500 0.500
Ti3 0.500 0.000 0.500
Ti4 0.500 0.500 0.000
Ga1 0.250 0.250 0.750
Ga2 0.250 0.750 0.250
Ga3 0.750 0.250 0.250
Ga4 0.750 0.750 0.750
Tc1 0.000 0.000 0.500
Tc2 0.000 0.500 0.000
Tc3 0.500 0.000 0.000
Tc4 0.500 0.500 0.500
Mo1 0.250 0.250 0.250
Mo2 0.250 0.750 0.750
Mo3 0.750 0.250 0.750
Mo4 0.750 0.750 0.250

Symmetry: No. 216
Energy of formation, eV/atom: -0.204
Theoretical density, Mg/m³: 8.5



DFT (PBE) results for crystalline UGaTcMo at its relaxed geometry.

Lattice parameters (Å, degrees): 6.494 6.494 6.494 90.00 90.00 90.00
Atoms (fractional coordinates):
U1 0.000 0.000 0.000
U2 0.000 0.500 0.500
U3 0.500 0.000 0.500
U4 0.500 0.500 0.000
Ga1 0.000 0.000 0.500
Ga2 0.000 0.500 0.000
Ga3 0.500 0.000 0.000
Ga4 0.500 0.500 0.500
Tc1 0.250 0.250 0.250
Tc2 0.250 0.750 0.750
Tc3 0.750 0.250 0.750
Tc4 0.750 0.750 0.250
Mo1 0.250 0.250 0.750
Mo2 0.250 0.750 0.250
Mo3 0.750 0.250 0.250
Mo4 0.750 0.750 0.750

Symmetry: No. 216
Energy of formation, eV/atom: 0.007
Theoretical density, Mg/m³: 12.2



Which of these has the highest energy of formation? GaTc3Mo



The highest energy of formation belongs to which entry? GaTc3Mo



Look up the theoretical density of the fourth one. 9.1 Mg/m³



What is the formula in the fifth record? TiGaTcMo